No. 1
The following is a PBE calculation of an optimized crystal structure of Pm2CuNi4Sn3, from Alexandria.

Values from the calculation:
The space group is No. 115. For the energy relative to the elements, the calculation gives -0.435 eV per atom. Its total DFT energy (no corrections) is -5.308 eV/atom.

Unit cell a=4.3812 b=4.3812 c=9.9452 alpha=90.00 beta=90.00 gamma=90.00
With the nearest neighbours (Å) after each atom.
Fractional positions:
Pm1 0.5000 0.0000 0.2518  6 Sn 3.30-3.33, 2 Cu 3.30, 9 Ni 3.33-3.67
Pm2 0.0000 0.5000 0.7482  6 Sn 3.30-3.33, 2 Cu 3.30, 9 Ni 3.33-3.67
Cu1 0.5000 0.5000 0.5000  4 Ni 2.50
Ni1 0.5000 0.5000 0.0000  4 Sn 2.54
Ni2 0.0000 0.0000 0.0000  4 Sn 2.54
Ni3 0.5000 0.0000 0.6211  3 Sn 2.48-2.50, 2 Cu 2.50
Ni4 0.0000 0.5000 0.3789  3 Sn 2.48-2.50, 2 Cu 2.50
Sn1 0.0000 0.0000 0.5000  4 Ni 2.50
Sn2 0.5000 0.0000 0.8707  5 Ni 2.48-2.54
Sn3 0.0000 0.5000 0.1293  5 Ni 2.48-2.54



No. 2
The following is a PBE calculation of an optimized crystal structure of Na2Zn15In2, from Alexandria.

Values from the calculation:
The space group is No. 166. For the energy relative to the elements, the calculation gives -0.012 eV per atom. Its total DFT energy (no corrections) is -1.445 eV/atom.

Unit cell a=6.9776 b=6.9776 c=6.9776 alpha=84.26 beta=84.26 gamma=84.26
With the nearest neighbours (Å) after each atom.
Fractional positions:
Na1 0.3517 0.3517 0.3517  12 Zn 3.16-3.34, 1 In 3.19
Na2 0.6483 0.6483 0.6483  12 Zn 3.16-3.34, 1 In 3.19
Zn1 0.5000 0.0000 0.0000  8 Zn 2.65-2.76, 2 In 2.80
Zn2 0.0000 0.0000 0.5000  8 Zn 2.65-2.76, 2 In 2.80
Zn3 0.0000 0.5000 0.0000  8 Zn 2.65-2.76, 2 In 2.80
Zn4 0.0000 0.6867 0.3133  8 Zn 2.65-2.93
Zn5 0.6867 0.3133 0.0000  8 Zn 2.65-2.93
Zn6 0.3133 0.0000 0.6867  8 Zn 2.65-2.93
Zn7 0.3133 0.6867 0.0000  8 Zn 2.65-2.93
Zn8 0.6867 0.0000 0.3133  8 Zn 2.65-2.93
Zn9 0.0000 0.3133 0.6867  8 Zn 2.65-2.93
Zn10 0.1693 0.6485 0.6485  8 Zn 2.61-2.79
Zn11 0.6485 0.6485 0.1693  8 Zn 2.61-2.79
Zn12 0.6485 0.1693 0.6485  8 Zn 2.61-2.79
Zn13 0.8307 0.3515 0.3515  8 Zn 2.61-2.79
Zn14 0.3515 0.3515 0.8307  8 Zn 2.61-2.79
Zn15 0.3515 0.8307 0.3515  8 Zn 2.61-2.79
In1 0.1106 0.1106 0.1106  6 Zn 2.80-2.95, 1 In 2.93
In2 0.8894 0.8894 0.8894  6 Zn 2.80-2.95, 1 In 2.93



No. 3
The following is a PBE calculation of an optimized crystal structure of YZr2Re, from Alexandria.

Values from the calculation:
The space group is No. 166. For the energy relative to the elements, the calculation gives 0.185 eV per atom. Its total DFT energy (no corrections) is -8.817 eV/atom.

Unit cell a=9.9849 b=9.9849 c=9.9849 alpha=18.93 beta=18.93 gamma=18.93
With the nearest neighbours (Å) after each atom.
Fractional positions:
Re1 0.2500 0.2500 0.2500  6 Zr 2.77
Y1 0.7500 0.7500 0.7500  6 Y 3.28, 6 Zr 3.45
Zr1 0.9854 0.9854 0.9854  3 Re 2.77
Zr2 0.5146 0.5146 0.5146  3 Re 2.77



No. 4
The following is a PBE calculation of an optimized crystal structure of SrPm2Ho, from Alexandria.

Values from the calculation:
The space group is No. 166. For the energy relative to the elements, the calculation gives 0.192 eV per atom. Its total DFT energy (no corrections) is -3.748 eV/atom.

Unit cell a=3.6493 b=3.6493 c=13.1803 alpha=82.04 beta=82.04 gamma=60.00
With the nearest neighbours (Å) after each atom.
Fractional positions:
Sr1 0.0000 0.0000 0.0000  6 Sr 3.65, 2 Pm 3.65
Ho1 0.5000 0.5000 0.5000  6 Pm 3.55, 6 Ho 3.65
Pm1 0.0935 0.0935 0.7195  3 Ho 3.55, 6 Pm 3.65, 1 Sr 3.65
Pm2 0.9065 0.9065 0.2805  3 Ho 3.55, 6 Pm 3.65, 1 Sr 3.65



No. 5
The following is a PBE calculation of an optimized crystal structure of CePrMoN3, from Alexandria.

Values from the calculation:
The space group is No. 11. The uncorrected formation energy comes out at -0.92 eV per atom. Its total DFT energy (no corrections) is -8.673 eV/atom.

Unit cell a=3.4143 b=7.6519 c=7.7436 alpha=97.08 beta=90.00 gamma=90.00
With the nearest neighbours (Å) after each atom.
Fractional positions:
Ce1 0.2500 0.6330 0.1669  3 N 2.22-2.39
Ce2 0.7500 0.3670 0.8331  3 N 2.22-2.39
Pr1 0.7500 0.8363 0.8174  7 N 2.58-2.79
Pr2 0.2500 0.1637 0.1826  7 N 2.58-2.79
Mo1 0.2500 0.1004 0.5845  4 N 2.01-2.18
Mo2 0.7500 0.8996 0.4155  4 N 2.01-2.18
N1 0.2500 0.8258 0.5665  3 Mo 2.09-2.18
N2 0.7500 0.8735 0.1534  1 Mo 2.01
N3 0.7500 0.4138 0.1215  3 Ce 2.22-2.39
N4 0.7500 0.1742 0.4335  3 Mo 2.09-2.18
N5 0.2500 0.5862 0.8785  3 Ce 2.22-2.39
N6 0.2500 0.1265 0.8466  1 Mo 2.01



No. 6
The following is a PBE calculation of an optimized crystal structure of Li2PmCuO4, from Alexandria.

Values from the calculation:
The space group is No. 121. The uncorrected formation energy comes out at -1.79 eV per atom. Its total DFT energy (no corrections) is -5.858 eV/atom.

Unit cell a=4.9207 b=4.9207 c=4.9207 alpha=102.25 beta=113.20 gamma=113.20
With the nearest neighbours (Å) after each atom.
Fractional positions:
Li1 0.5000 0.7500 0.2500  4 O 2.05
Li2 0.5000 0.2500 0.7500  4 O 2.05
Pm1 0.0000 0.0000 0.0000  4 O 2.31
Cu1 0.0000 0.5000 0.5000  4 O 1.89
O1 0.0000 0.1425 0.5825  1 Cu 1.89, 2 Li 2.05
O2 0.5600 0.4175 0.4175  1 Cu 1.89, 2 Li 2.05
O3 0.4400 0.8575 0.8575  1 Cu 1.89, 2 Li 2.05
O4 0.0000 0.5825 0.1425  1 Cu 1.89, 2 Li 2.05



No. 7
The following is a PBE calculation of an optimized crystal structure of AlTl3I, from Alexandria.

Values from the calculation:
The space group is No. 221. The uncorrected formation energy comes out at 0.55 eV per atom. Its total DFT energy (no corrections) is -1.929 eV/atom.

Unit cell a=6.3659 b=6.3659 c=6.3659 alpha=90.00 beta=90.00 gamma=90.00
With the nearest neighbours (Å) after each atom.
Fractional positions:
I1 0.0000 0.0000 0.0000  6 Tl 3.18
Tl1 0.0000 0.5000 0.0000  2 I 3.18
Tl2 0.0000 0.0000 0.5000  2 I 3.18
Tl3 0.5000 0.0000 0.0000  2 I 3.18
Al1 0.5000 0.5000 0.5000  12 Tl 4.50



No. 8
The following is a PBE calculation of an optimized crystal structure of TcGe2S2, from Alexandria.

Values from the calculation:
The space group is No. 139. The uncorrected formation energy comes out at 0.39 eV per atom. Its total DFT energy (no corrections) is -5.183 eV/atom.

Unit cell a=3.2672 b=3.2672 c=8.6992 alpha=79.18 beta=79.18 gamma=90.00
With the nearest neighbours (Å) after each atom.
Fractional positions:
S1 0.7500 0.2500 0.5000  4 S 2.31
S2 0.2500 0.7500 0.5000  4 S 2.31
Ge1 0.4191 0.4191 0.1617  4 Tc 2.68, 1 Ge 2.71
Ge2 0.5809 0.5809 0.8383  4 Tc 2.68, 1 Ge 2.71
Tc1 0.0000 0.0000 0.0000  8 Ge 2.68



No. 9
The following is a PBE calculation of an optimized crystal structure of DyAl4NiPt2, from Alexandria.

Values from the calculation:
The space group is No. 166. For the energy relative to the elements, the calculation gives -0.839 eV per atom. Its total DFT energy (no corrections) is -5.519 eV/atom.

Unit cell a=4.2306 b=4.2306 c=8.9454 alpha=76.32 beta=76.32 gamma=60.00
With the nearest neighbours (Å) after each atom.
Fractional positions:
Dy1 0.0000 0.0000 0.0000  6 Al 3.05
Al1 0.4043 0.4043 0.7871  1 Ni 2.47, 3 Pt 2.52
Al2 0.8644 0.8644 0.4067  3 Ni 2.57, 4 Pt 2.65
Al3 0.1356 0.1356 0.5933  3 Ni 2.57, 4 Pt 2.65
Al4 0.5957 0.5957 0.2129  1 Ni 2.47, 3 Pt 2.52
Ni1 0.5000 0.5000 0.5000  8 Al 2.47-2.57
Pt1 0.7620 0.7620 0.7141  7 Al 2.52-2.65
Pt2 0.2380 0.2380 0.2859  7 Al 2.52-2.65



No. 10
The following is a PBE calculation of an optimized crystal structure of Na2Ac2NbO6, from Alexandria.

Values from the calculation:
The space group is No. 12. The uncorrected formation energy comes out at -2.48 eV per atom. Its total DFT energy (no corrections) is -7.088 eV/atom.

Unit cell a=6.2970 b=6.2970 c=5.9135 alpha=96.15 beta=96.15 gamma=119.73
With the nearest neighbours (Å) after each atom.
Fractional positions:
Na1 0.8736 0.1264 0.0000  4 O 2.37-2.47
Na2 0.1264 0.8736 0.0000  4 O 2.37-2.47
Ac1 0.3378 0.6622 0.5000  6 O 2.50-2.55
Ac2 0.6622 0.3378 0.5000  6 O 2.50-2.55
Nb1 0.0000 0.0000 0.5000  6 O 2.12
O1 0.7627 0.7627 0.7047  1 Nb 2.12
O2 0.0284 0.3225 0.6852  1 Nb 2.12
O3 0.2373 0.2373 0.2953  1 Nb 2.12
O4 0.3225 0.0284 0.6852  1 Nb 2.12
O5 0.9716 0.6775 0.3148  1 Nb 2.12
O6 0.6775 0.9716 0.3148  1 Nb 2.12



No. 11
The following is a PBE calculation of an optimized crystal structure of MgTeS2, from Alexandria.

Values from the calculation:
The space group is No. 166. The uncorrected formation energy comes out at -0.53 eV per atom. Its total DFT energy (no corrections) is -3.780 eV/atom.

Unit cell a=8.1535 b=8.1535 c=8.1535 alpha=26.49 beta=26.49 gamma=26.49
With the nearest neighbours (Å) after each atom.
Fractional positions:
S1 0.8929 0.8929 0.8929  1 Te 2.53, 3 Mg 2.57
S2 0.1071 0.1071 0.1071  1 Te 2.53, 3 Mg 2.57
Te1 0.0000 0.0000 0.0000  2 S 2.53
Mg1 0.5000 0.5000 0.5000  6 S 2.57



No. 12
The following is a PBE calculation of an optimized crystal structure of BeTcRu2F, from Alexandria.

Values from the calculation:
The space group is No. 123. The uncorrected formation energy comes out at 0.96 eV per atom. Its total DFT energy (no corrections) is -5.947 eV/atom.

Unit cell a=4.6728 b=3.8593 c=4.6728 alpha=90.00 beta=90.00 gamma=90.00
With the nearest neighbours (Å) after each atom.
Fractional positions:
Ru1 0.0000 0.0000 0.5000  2 Tc 2.34
Ru2 0.5000 0.0000 0.0000  2 Tc 2.34
Be1 0.5000 0.5000 0.5000  8 Ru 3.03, 4 F 3.30
Tc1 0.0000 0.0000 0.0000  2 F 1.93
F1 0.0000 0.5000 0.0000  2 Tc 1.93



No. 13
The following is a PBE calculation of an optimized crystal structure of SrLa3Ir, from Alexandria.

Values from the calculation:
The space group is No. 99. For the energy relative to the elements, the calculation gives 0.048 eV per atom. Its total DFT energy (no corrections) is -5.017 eV/atom.

Unit cell a=4.3857 b=4.3857 c=10.3054 alpha=90.00 beta=90.00 gamma=90.00
With the nearest neighbours (Å) after each atom.
Fractional positions:
Sr1 0.0000 0.0000 0.0896  5 La 3.94-4.06, 4 Sr 4.39
Ir1 0.5000 0.5000 0.6247  8 La 3.04-3.22
La1 0.0000 0.0000 0.7077  4 Ir 3.22
La2 0.5000 0.0000 0.4209  2 Ir 3.04, 4 La 3.10
La3 0.0000 0.5000 0.4209  2 Ir 3.04, 4 La 3.10



No. 14
The following is a PBE calculation of an optimized crystal structure of CeZrSe, from Alexandria.

Values from the calculation:
The space group is No. 129. The uncorrected formation energy comes out at -0.93 eV per atom. Its total DFT energy (no corrections) is -6.921 eV/atom.

Unit cell a=4.1712 b=4.1712 c=8.0107 alpha=90.00 beta=90.00 gamma=90.00
With the nearest neighbours (Å) after each atom.
Fractional positions:
Ce1 0.0000 0.5000 0.8536  5 Se 3.04-3.08
Ce2 0.5000 0.0000 0.1464  5 Se 3.04-3.08
Se1 0.0000 0.5000 0.2385  4 Zr 2.96, 5 Ce 3.04-3.08
Se2 0.5000 0.0000 0.7615  4 Zr 2.96, 5 Ce 3.04-3.08
Zr1 0.5000 0.5000 0.5000  4 Zr 2.95, 4 Se 2.96
Zr2 0.0000 0.0000 0.5000  4 Zr 2.95, 4 Se 2.96



No. 15
The following is a PBE calculation of an optimized crystal structure of YMo3Br, from Alexandria.

Values from the calculation:
The space group is No. 221. The uncorrected formation energy comes out at 1.12 eV per atom. Its total DFT energy (no corrections) is -7.007 eV/atom.

Unit cell a=4.6987 b=4.6987 c=4.6987 alpha=90.00 beta=90.00 gamma=90.00
With the nearest neighbours (Å) after each atom.
Fractional positions:
Y1 0.5000 0.5000 0.5000  12 Mo 3.32
Mo1 0.0000 0.5000 0.0000  2 Br 2.35
Mo2 0.0000 0.0000 0.5000  2 Br 2.35
Mo3 0.5000 0.0000 0.0000  2 Br 2.35
Br1 0.0000 0.0000 0.0000  6 Mo 2.35



No. 16
The following is a PBE calculation of an optimized crystal structure of Ca3TcRh, from Alexandria.

Values from the calculation:
The space group is No. 221. For the energy relative to the elements, the calculation gives 0.576 eV per atom. Its total DFT energy (no corrections) is -4.169 eV/atom.

Unit cell a=5.3562 b=5.3562 c=5.3562 alpha=90.00 beta=90.00 gamma=90.00
With the nearest neighbours (Å) after each atom.
Fractional positions:
Ca1 0.0000 0.5000 0.0000  2 Rh 2.68
Ca2 0.0000 0.0000 0.5000  2 Rh 2.68
Ca3 0.5000 0.0000 0.0000  2 Rh 2.68
Rh1 0.0000 0.0000 0.0000  6 Ca 2.68
Tc1 0.5000 0.5000 0.5000  12 Ca 3.79



No. 17
The following is a PBE calculation of an optimized crystal structure of Rb6Br3O2, from Alexandria.

Values from the calculation:
The space group is No. 166. The uncorrected formation energy comes out at -1.29 eV per atom. Its total DFT energy (no corrections) is -3.179 eV/atom.

Unit cell a=4.6215 b=4.6215 c=22.1186 alpha=84.00 beta=84.00 gamma=60.00
With the nearest neighbours (Å) after each atom.
Fractional positions:
Rb1 0.9015 0.9015 0.2954  3 O 3.22, 3 Br 3.43
Rb2 0.0985 0.0985 0.7046  3 O 3.22, 3 Br 3.43
Rb3 0.8053 0.8053 0.5840  3 O 2.80
Rb4 0.1947 0.1947 0.4160  3 O 2.80
Rb5 0.6338 0.6338 0.0987  6 Br 3.44
Rb6 0.3662 0.3662 0.9013  6 Br 3.44
Br1 0.0000 0.0000 0.0000  6 Rb 3.44
Br2 0.7324 0.7324 0.8027  6 Rb 3.43-3.44
Br3 0.2676 0.2676 0.1973  6 Rb 3.43-3.44
O1 0.5410 0.5410 0.3771  3 Rb 2.80
O2 0.4590 0.4590 0.6229  3 Rb 2.80



No. 18
The following is a PBE calculation of an optimized crystal structure of ScTiSnRu2, from Alexandria.

Values from the calculation:
The space group is No. 123. For the energy relative to the elements, the calculation gives 0.584 eV per atom. Its total DFT energy (no corrections) is -6.772 eV/atom.

Unit cell a=4.5383 b=4.9248 c=4.5383 alpha=90.00 beta=90.00 gamma=90.00
With the nearest neighbours (Å) after each atom.
Fractional positions:
Sc1 0.0000 0.5000 0.0000  2 Ti 2.46
Ru1 0.0000 0.0000 0.5000  2 Ti 2.27
Ru2 0.5000 0.0000 0.0000  2 Ti 2.27
Sn1 0.5000 0.5000 0.5000  4 Sc 3.21, 8 Ru 3.35
Ti1 0.0000 0.0000 0.0000  4 Ru 2.27, 2 Sc 2.46



No. 19
The following is a PBE calculation of an optimized crystal structure of CdCo, from Alexandria.

Values from the calculation:
The space group is No. 164. For the energy relative to the elements, the calculation gives 0.294 eV per atom. Its total DFT energy (no corrections) is -3.716 eV/atom.

Unit cell a=2.8610 b=2.8610 c=9.1006 alpha=90.00 beta=90.00 gamma=120.00
With the nearest neighbours (Å) after each atom.
Fractional positions:
Cd1 0.0000 0.0000 0.9718  3 Co 2.83, 6 Cd 2.86
Cd2 0.3333 0.6667 0.2782  3 Co 2.83, 6 Cd 2.86
Co1 0.0000 0.0000 0.5304  3 Co 2.39
Co2 0.3333 0.6667 0.7196  3 Co 2.39



No. 20
The following is a PBE calculation of an optimized crystal structure of Co2HOs, from Alexandria.

Values from the calculation:
The space group is No. 166. Its total DFT energy (no corrections) is -7.131 eV/atom.

Unit cell a=2.6458 b=2.6458 c=6.4746 alpha=78.21 beta=78.21 gamma=60.00
With the nearest neighbours (Å) after each atom.
Fractional positions:
Co1 0.7223 0.7223 0.8330  3 H 1.85
Co2 0.2777 0.2777 0.1670  3 H 1.85
Os1 0.5000 0.5000 0.5000  6 Co 2.59, 6 Os 2.65
H1 0.0000 0.0000 0.0000  6 Co 1.85